Material: KHoSO
Method: DFT, PBE
State: relaxed

a b c (Å): 7.204 7.204 7.204
angles (deg): 29.73 29.73 29.73
Atoms (fractional coordinates):
S 0.266 0.266 0.266
O 0.726 0.726 0.726
K 0.495 0.495 0.495
Ho 0.012 0.012 0.012

Values from the calculation:
Symmetry ... No. 160
Relative energy among the computed polymorphs ... 93 meV per atom
Size of the total moment ... 0.002 μB/f.u.
DFT total energy ... -23.7 eV/cell